Compound: Mn5O6
Source: the Alexandria database
Functional: PBE with a Hubbard U
Structure: relaxed

Calculated values
**Spin magnetization**: 2.091 μB per atom
**Crystal system**: monoclinic
**E**: -7.6808 eV per atom

The structure in POSCAR format:
```
Mn5O6
1.0
2.704 -4.692 0.000
2.704 4.692 0.000
-1.667 0.000 5.062
Mn O
5 6
Direct
0.000 0.000 0.000
0.171 0.829 0.500
0.340 0.660 0.000
0.660 0.340 0.000
0.829 0.171 0.500
0.050 0.402 0.241
0.226 0.226 0.778
0.402 0.050 0.241
0.598 0.950 0.759
0.774 0.774 0.222
0.950 0.598 0.759
```